(1)
First-principles (GGA-PBEsol) data for an optimized crystal structure of InAgHg, as listed in Alexandria.

Structure (extended XYZ):
```
3
Lattice="2.187 -2.185 0.000 2.187 2.185 0.000 -0.040 0.000 6.729" Properties=species:S:1:pos:R:3 pbc="T T T"
In 0.000 0.000 0.000
Ag 2.197 0.000 1.939
Hg 0.021 0.000 3.931
```

Computed properties:
Its space-group type is Cm, No. 8. The density is 10.93 g/cm3. As for the formation energy: 0.000 eV per atom. For the calculated total energy, the calculation gives -2.287 eV per atom. The calculation puts the total magnetization at 0.00 μB per formula unit.

(2)
First-principles (GGA-PBEsol) data for an optimized crystal structure of InAg2Hg, as listed in Alexandria.

Structure (extended XYZ):
```
4
Lattice="-2.115 2.115 4.248 2.115 -2.115 4.248 2.115 2.115 -4.248" Properties=species:S:1:pos:R:3 pbc="T T T"
In 0.000 0.000 0.000
Ag 0.000 0.000 4.248
Ag 0.000 2.115 2.124
Hg 2.115 0.000 2.124
```

Computed properties:
Its space-group type is I-4m2, No. 119. The density is 11.61 g/cm3. As for the formation energy: -0.002 eV per atom. For the calculated total energy, the calculation gives -2.545 eV per atom. The calculation puts the total magnetization at 0.00 μB per formula unit.

(3)
First-principles (GGA-PBEsol) data for an optimized crystal structure of InAg2Hg, as listed in Alexandria.

Structure (extended XYZ):
```
4
Lattice="3.438 0.000 0.000 0.000 3.785 0.000 0.000 0.000 5.947" Properties=species:S:1:pos:R:3 pbc="T T T"
In 0.000 0.000 0.000
Ag 0.000 0.000 2.847
Ag 1.719 1.893 1.437
Hg 1.719 1.893 4.274
```

Computed properties:
Its space-group type is Pmm2, No. 25. The density is 11.40 g/cm3. As for the formation energy: -0.010 eV per atom. For the calculated total energy, the calculation gives -2.553 eV per atom. The calculation puts the total magnetization at 0.00 μB per formula unit.

(4)
First-principles (GGA-PBEsol) data for an optimized crystal structure of AgHg3Ir, as listed in Alexandria.

Structure (extended XYZ):
```
5
Lattice="5.044 0.000 0.000 0.000 5.044 0.000 0.000 0.000 5.044" Properties=species:S:1:pos:R:3 pbc="T T T"
Ag 0.000 0.000 0.000
Hg 0.000 0.000 2.522
Hg 0.000 2.522 0.000
Hg 2.522 0.000 0.000
Ir 2.522 2.522 2.522
```

Computed properties:
Its space-group type is Pm-3m, No. 221. The density is 11.67 g/cm3. As for the formation energy: 1.362 eV per atom. For the calculated total energy, the calculation gives -1.606 eV per atom. The calculation puts the total magnetization at 1.78 μB per formula unit.

(5)
First-principles (GGA-PBEsol) data for an optimized crystal structure of KAg4Hg, as listed in Alexandria.

Structure (extended XYZ):
```
6
Lattice="0.000 3.948 3.948 3.948 0.000 3.948 3.948 3.948 0.000" Properties=species:S:1:pos:R:3 pbc="T T T"
K 0.000 0.000 0.000
Ag 4.932 2.964 2.964
Ag 2.964 4.932 2.964
Ag 2.964 2.964 4.932
Ag 4.932 4.932 4.932
Hg 1.974 1.974 1.974
```

Computed properties:
Its space-group type is F-43m, No. 216. The density is 9.05 g/cm3. As for the formation energy: 0.029 eV per atom. For the calculated total energy, the calculation gives -2.462 eV per atom. The calculation puts the total magnetization at 0.00 μB per formula unit.

(6)
First-principles (GGA-PBEsol) data for an optimized crystal structure of KAgHg, as listed in Alexandria.

Structure (extended XYZ):
```
3
Lattice="4.834 0.000 0.000 -2.417 4.187 0.000 0.000 0.000 4.278" Properties=species:S:1:pos:R:3 pbc="T T T"
K 0.000 0.000 0.000
Ag 0.000 2.791 2.139
Hg 2.417 1.396 2.139
```

Computed properties:
Its space-group type is P-6m2, No. 187. The density is 6.67 g/cm3. As for the formation energy: -0.041 eV per atom. For the calculated total energy, the calculation gives -1.711 eV per atom. The calculation puts the total magnetization at 0.00 μB per formula unit.

(7)
First-principles (GGA-PBEsol) data for an optimized crystal structure of KAg2Hg, as listed in Alexandria.

Structure (extended XYZ):
```
4
Lattice="2.950 0.000 0.000 0.000 4.838 0.000 -1.258 0.000 6.645" Properties=species:S:1:pos:R:3 pbc="T T T"
K 0.000 0.000 0.000
Ag 0.028 2.419 4.562
Ag 1.665 2.419 2.083
Hg 0.846 0.000 3.323
```

Computed properties:
Its space-group type is P2/m, No. 10. The density is 7.97 g/cm3. As for the formation energy: 0.135 eV per atom. For the calculated total energy, the calculation gives -1.946 eV per atom. The calculation puts the total magnetization at 0.00 μB per formula unit.

(8)
First-principles (GGA-PBEsol) data for an optimized crystal structure of KAgHg, as listed in Alexandria.

Structure (extended XYZ):
```
3
Lattice="0.000 3.592 3.592 3.592 0.000 3.592 3.592 3.592 0.000" Properties=species:S:1:pos:R:3 pbc="T T T"
K 0.000 0.000 0.000
Ag 3.592 3.592 3.592
Hg 5.387 5.387 5.387
```

Computed properties:
Its space-group type is F-43m, No. 216. The density is 6.23 g/cm3. As for the formation energy: 0.123 eV per atom. For the calculated total energy, the calculation gives -1.547 eV per atom. The calculation puts the total magnetization at 0.00 μB per formula unit.

> What is the calculated total energy in the fifth record?

-2.462 eV per atom

> Which of these has the lowest density?

number 8

> Among the records above, which one has the lowest density?

number 8